# SrCa3V4O12

SrCa3V4O12 after structural relaxation (PBE with a Hubbard U, Alexandria).

extended XYZ file:
```
20
Lattice="7.292 -0.126 -0.175 -1.879 7.046 -0.175 -1.879 -2.403 6.626" Properties=species:S:1:pos:R:3 pbc="T T T"
O 5.451 3.173 0.405
O 0.398 3.329 3.138
O 4.534 -1.422 4.152
O 0.366 6.278 1.110
O -1.918 5.140 3.138
O 3.136 2.599 2.123
O 3.167 5.458 -0.030
O -1.001 0.128 6.306
O -2.472 2.650 5.166
O 1.767 -1.538 5.871
O 6.005 0.460 2.123
O 1.767 0.848 4.153
V -2.363 1.234 6.200
V 1.767 6.513 0.075
V 1.767 2.259 3.138
V 5.896 -0.971 3.138
Ca 3.174 3.094 -0.175
Ca -1.879 2.804 2.878
Ca 2.238 -1.381 3.573
Sr 0.000 0.000 0.000
```

Offset from the most stable computed form (kJ per mole of atoms): 22.79